# 1
A plane-wave DFT calculation with PBE was carried out for a geometry-optimized PrNdSiGe structure.

Cell: 4.0225 5.9780 5.9780 Å, 44.22 90.00 90.00°
Last column: nearest neighbours and their distance in Å.
Fractional positions:
Pr: 0.0000 0.0000 0.0000  4 Ge 3.10, 3 Si 3.13-3.29
Nd: 0.5000 0.7213 0.7213  4 Si 3.09, 3 Ge 3.17-3.27
Si: 0.0000 0.2828 0.2828  2 Ge 2.62
Ge: 0.5000 0.4350 0.4350  2 Si 2.62

Computed properties:
E_form (uncorrected) in eV/atom: -0.787
SG: No. 38


# 2
A plane-wave DFT calculation with PBE was carried out for a geometry-optimized PrNd8Ge3Te4 structure.

Cell: 9.0564 9.0564 9.0564 Å, 58.46 58.46 58.46°
Last column: nearest neighbours and their distance in Å.
Fractional positions:
Pr: 0.0000 0.0000 0.0000  6 Nd 3.26
Nd: 0.2580 0.2580 0.7231  2 Ge 3.05, 3 Te 3.07-3.29, 1 Pr 3.26
Nd: 0.2580 0.7231 0.2580  2 Ge 3.05, 3 Te 3.07-3.29, 1 Pr 3.26
Nd: 0.2602 0.2602 0.2602  3 Ge 3.04, 3 Te 3.31
Nd: 0.2769 0.7420 0.7420  2 Ge 3.05, 3 Te 3.07-3.29, 1 Pr 3.26
Nd: 0.7231 0.2580 0.2580  2 Ge 3.05, 3 Te 3.07-3.29, 1 Pr 3.26
Nd: 0.7398 0.7398 0.7398  3 Ge 3.04, 3 Te 3.31
Nd: 0.7420 0.2769 0.7420  2 Ge 3.05, 3 Te 3.07-3.29, 1 Pr 3.26
Nd: 0.7420 0.7420 0.2769  2 Ge 3.05, 3 Te 3.07-3.29, 1 Pr 3.26
Ge: 0.0000 0.5000 0.5000  6 Nd 3.04-3.05
Ge: 0.5000 0.0000 0.5000  6 Nd 3.04-3.05
Ge: 0.5000 0.5000 0.0000  6 Nd 3.04-3.05
Te: 0.0000 0.0000 0.5000  6 Nd 3.29-3.31
Te: 0.0000 0.5000 0.0000  6 Nd 3.29-3.31
Te: 0.5000 0.0000 0.0000  6 Nd 3.29-3.31
Te: 0.5000 0.5000 0.5000  6 Nd 3.07

Computed properties:
E_form (uncorrected) in eV/atom: -0.911
SG: No. 166


# 3
A plane-wave DFT calculation with PBE was carried out for a geometry-optimized PrNdTlGe structure.

Cell: 5.3916 5.3916 5.3916 Å, 60.00 60.00 60.00°
Last column: nearest neighbours and their distance in Å.
Fractional positions:
Pr: 0.0000 0.0000 0.0000  4 Tl 3.30, 4 Ge 3.30
Nd: 0.5000 0.5000 0.5000  4 Ge 3.30, 4 Tl 3.30
Tl: 0.7500 0.7500 0.7500  4 Nd 3.30, 4 Pr 3.30
Ge: 0.2500 0.2500 0.2500  4 Nd 3.30, 4 Pr 3.30

Computed properties:
SG: No. 216
ΔH_f (0 K) in eV/atom: -0.457


# 4
A plane-wave DFT calculation with PBE was carried out for a geometry-optimized Pr2NdZn2Ge2 structure.

Cell: 11.9189 11.9189 11.9189 Å, 20.36 20.36 20.36°
Last column: nearest neighbours and their distance in Å.
Fractional positions:
Pr: 0.1218 0.1218 0.1218  3 Zn 3.19, 3 Ge 3.27
Pr: 0.8782 0.8782 0.8782  3 Zn 3.19, 3 Ge 3.27
Nd: 0.0000 0.0000 0.0000  6 Ge 3.20, 6 Zn 3.28
Zn: 0.3963 0.3963 0.3963  3 Ge 2.44
Zn: 0.6037 0.6037 0.6037  3 Ge 2.44
Ge: 0.2738 0.2738 0.2738  3 Zn 2.44
Ge: 0.7262 0.7262 0.7262  3 Zn 2.44

Computed properties:
SG: No. 166
ΔH_f (0 K) in eV/atom: -0.497


# 5
A plane-wave DFT calculation with PBE was carried out for a geometry-optimized NdGe2Pt2 structure.

Cell: 5.9026 5.9026 5.9026 Å, 136.08 136.08 63.86°
Last column: nearest neighbours and their distance in Å.
Fractional positions:
Nd: 0.0000 0.0000 0.0000  8 Pt 3.34, 8 Ge 3.37
Ge: 0.3745 0.3745 0.0000  1 Ge 2.51, 4 Pt 2.54
Ge: 0.6255 0.6255 0.0000  1 Ge 2.51, 4 Pt 2.54
Pt: 0.2500 0.7500 0.5000  4 Ge 2.54
Pt: 0.7500 0.2500 0.5000  4 Ge 2.54

Computed properties:
SG: No. 139
ΔH_f (0 K) in eV/atom: -0.851


# 6
A plane-wave DFT calculation with PBE was carried out for a geometry-optimized Nd2GePt structure.

Cell: 3.5891 3.5891 7.5500 Å, 90.00 90.00 90.00°
Last column: nearest neighbours and their distance in Å.
Fractional positions:
Nd: 0.0000 0.0000 0.2419  4 Pt 3.13, 4 Ge 3.20
Nd: 0.0000 0.0000 0.7581  4 Pt 3.13, 4 Ge 3.20
Ge: 0.5000 0.5000 0.5000  8 Nd 3.20
Pt: 0.5000 0.5000 0.0000  8 Nd 3.13

Computed properties:
SG: No. 123
ΔH_f (0 K) in eV/atom: -0.841


# 7
A plane-wave DFT calculation with PBE was carried out for a geometry-optimized NdGe4Pt6 structure.

Cell: 6.5834 6.5834 6.5834 Å, 117.66 117.66 94.10°
Last column: nearest neighbours and their distance in Å.
Fractional positions:
Nd: 0.0000 0.0000 0.0000  4 Ge 3.18, 8 Pt 3.41-3.49
Ge: 0.1357 0.1357 0.5897  4 Pt 2.37-2.57
Ge: 0.4540 0.8643 0.0000  4 Pt 2.37-2.57
Ge: 0.5460 0.5460 0.4103  4 Pt 2.37-2.57
Ge: 0.8643 0.4540 0.0000  4 Pt 2.37-2.57
Pt: 0.0000 0.5000 0.5000  4 Pt 2.80, 4 Ge 2.83
Pt: 0.2216 0.5336 0.0000  4 Ge 2.37-2.57
Pt: 0.4664 0.4664 0.6879  4 Ge 2.37-2.57
Pt: 0.5000 0.0000 0.5000  4 Pt 2.80, 4 Ge 2.83
Pt: 0.5336 0.2216 0.0000  4 Ge 2.37-2.57
Pt: 0.7784 0.7784 0.3121  4 Ge 2.37-2.57

Computed properties:
SG: No. 121
ΔH_f (0 K) in eV/atom: -0.560


# 8
A plane-wave DFT calculation with PBE was carried out for a geometry-optimized Nd2Ge3Pt5 structure.

Cell: 8.7891 8.7891 8.7891 Å, 109.96 83.16 141.06°
Last column: nearest neighbours and their distance in Å.
Fractional positions:
Nd: 0.1326 0.2319 0.3645  10 Pt 3.16-3.54, 6 Ge 3.19-3.51
Nd: 0.3674 0.7319 0.0994  10 Pt 3.16-3.54, 6 Ge 3.19-3.51
Nd: 0.6326 0.2681 0.9006  10 Pt 3.16-3.54, 6 Ge 3.19-3.51
Nd: 0.8674 0.7681 0.6355  10 Pt 3.16-3.54, 6 Ge 3.19-3.51
Ge: 0.1089 0.6470 0.7560  5 Pt 2.43-2.53
Ge: 0.2500 0.2500 0.0000  4 Pt 2.51
Ge: 0.3911 0.1470 0.5381  5 Pt 2.43-2.53
Ge: 0.6089 0.8530 0.4619  5 Pt 2.43-2.53
Ge: 0.7500 0.7500 0.0000  4 Pt 2.51
Ge: 0.8911 0.3530 0.2440  5 Pt 2.43-2.53
Pt: 0.0314 0.7500 0.2814  2 Ge 2.53, 2 Pt 2.74
Pt: 0.1280 0.8865 0.0145  3 Ge 2.43-2.51
Pt: 0.2500 0.7500 0.5000  4 Ge 2.53
Pt: 0.3720 0.3865 0.7585  3 Ge 2.43-2.51
Pt: 0.4686 0.7500 0.7186  2 Ge 2.53, 2 Pt 2.74
Pt: 0.5314 0.2500 0.2814  2 Ge 2.53, 2 Pt 2.74
Pt: 0.6280 0.6135 0.2415  3 Ge 2.43-2.51
Pt: 0.7500 0.2500 0.5000  4 Ge 2.53
Pt: 0.8720 0.1135 0.9855  3 Ge 2.43-2.51
Pt: 0.9686 0.2500 0.7186  2 Ge 2.53, 2 Pt 2.74

Computed properties:
SG: No. 72
Offset from the most stable computed form in meV per atom: 0
ΔH_f (0 K) in eV/atom: -0.904


# 9
A plane-wave DFT calculation with PBE was carried out for a geometry-optimized NdGePt structure.

Cell: 4.4801 14.6620 7.6861 Å, 90.00 90.00 90.00°
Last column: nearest neighbours and their distance in Å.
Fractional positions:
Nd: 0.2500 0.0028 0.2087  6 Pt 3.01-3.24, 6 Ge 3.11-3.30
Nd: 0.2500 0.2500 0.2965  6 Ge 3.08-3.15, 6 Pt 3.29-3.30
Nd: 0.2500 0.4972 0.2087  6 Pt 3.01-3.24, 6 Ge 3.11-3.30
Nd: 0.2500 0.7500 0.2928  6 Pt 3.15-3.20, 6 Ge 3.24-3.27
Nd: 0.7500 0.2500 0.7072  6 Pt 3.15-3.20, 6 Ge 3.24-3.27
Nd: 0.7500 0.5028 0.7913  6 Pt 3.01-3.24, 6 Ge 3.11-3.30
Nd: 0.7500 0.7500 0.7035  6 Ge 3.08-3.15, 6 Pt 3.29-3.30
Nd: 0.7500 0.9972 0.7913  6 Pt 3.01-3.24, 6 Ge 3.11-3.30
Ge: 0.2500 0.0994 0.5896  4 Pt 2.60-2.90
Ge: 0.2500 0.4006 0.5896  4 Pt 2.60-2.90
Ge: 0.2500 0.6555 0.9117  3 Pt 2.59-2.66, 1 Ge 2.77
Ge: 0.2500 0.8445 0.9117  3 Pt 2.59-2.66, 1 Ge 2.77
Ge: 0.7500 0.1555 0.0883  3 Pt 2.59-2.66, 1 Ge 2.77
Ge: 0.7500 0.3445 0.0883  3 Pt 2.59-2.66, 1 Ge 2.77
Ge: 0.7500 0.5994 0.4104  4 Pt 2.60-2.90
Ge: 0.7500 0.9006 0.4104  4 Pt 2.60-2.90
Pt: 0.2500 0.1416 0.9203  3 Ge 2.59-2.62
Pt: 0.2500 0.3584 0.9203  3 Ge 2.59-2.62
Pt: 0.2500 0.5986 0.5830  4 Ge 2.60-2.90
Pt: 0.2500 0.9014 0.5830  4 Ge 2.60-2.90
Pt: 0.7500 0.0986 0.4170  4 Ge 2.60-2.90
Pt: 0.7500 0.4014 0.4170  4 Ge 2.60-2.90
Pt: 0.7500 0.6416 0.0797  3 Ge 2.59-2.62
Pt: 0.7500 0.8584 0.0797  3 Ge 2.59-2.62

Computed properties:
SG: No. 59
ΔH_f (0 K) in eV/atom: -1.089


# 10
A plane-wave DFT calculation with PBE was carried out for a geometry-optimized Nd2Ge3Pt2 structure.

Cell: 5.6226 5.6226 6.7695 Å, 106.08 106.08 45.84°
Last column: nearest neighbours and their distance in Å.
Fractional positions:
Nd: 0.1485 0.1485 0.2905  4 Pt 3.03-3.23, 5 Ge 3.16-3.32
Nd: 0.8515 0.8515 0.7095  4 Pt 3.03-3.23, 5 Ge 3.16-3.32
Ge: 0.3899 0.3899 0.0600  3 Pt 2.58-2.64, 2 Ge 2.64-2.85
Ge: 0.5000 0.5000 0.5000  2 Ge 2.85, 4 Pt 2.98
Ge: 0.6101 0.6101 0.9400  3 Pt 2.58-2.64, 2 Ge 2.64-2.85
Pt: 0.1533 0.1533 0.7693  3 Ge 2.58-2.64
Pt: 0.8467 0.8467 0.2307  3 Ge 2.58-2.64

Computed properties:
SG: No. 12
Offset from the most stable computed form in meV per atom: 91
ΔH_f (0 K) in eV/atom: -0.806


# 11
A plane-wave DFT calculation with PBE was carried out for a geometry-optimized Nd5Ge2Pt2 structure.

Cell: 8.6589 8.6589 7.8510 Å, 90.00 90.00 53.66°
Last column: nearest neighbours and their distance in Å.
Fractional positions:
Nd: 0.0000 0.0000 0.0000  2 Pt 3.09, 4 Ge 3.11
Nd: 0.0322 0.6838 0.6652  3 Pt 3.00-3.09, 3 Ge 3.18-3.21
Nd: 0.1838 0.5322 0.1652  3 Pt 3.00-3.09, 3 Ge 3.18-3.21
Nd: 0.3162 0.9678 0.6652  3 Pt 3.00-3.09, 3 Ge 3.18-3.21
Nd: 0.4678 0.8162 0.1652  3 Pt 3.00-3.09, 3 Ge 3.18-3.21
Nd: 0.5000 0.5000 0.5000  2 Pt 3.09, 4 Ge 3.11
Nd: 0.5322 0.1838 0.8348  3 Pt 3.00-3.09, 3 Ge 3.18-3.21
Nd: 0.6838 0.0322 0.3348  3 Pt 3.00-3.09, 3 Ge 3.18-3.21
Nd: 0.8162 0.4678 0.8348  3 Pt 3.00-3.09, 3 Ge 3.18-3.21
Nd: 0.9678 0.3162 0.3348  3 Pt 3.00-3.09, 3 Ge 3.18-3.21
Ge: 0.1218 0.8782 0.3772  1 Ge 2.71
Ge: 0.3782 0.6218 0.8772  1 Ge 2.71
Ge: 0.6218 0.3782 0.1228  1 Ge 2.71
Ge: 0.8782 0.1218 0.6228  1 Ge 2.71
Pt: 0.2000 0.2000 0.0000  7 Nd 3.00-3.09
Pt: 0.3000 0.3000 0.5000  7 Nd 3.00-3.09
Pt: 0.7000 0.7000 0.5000  7 Nd 3.00-3.09
Pt: 0.8000 0.8000 0.0000  7 Nd 3.00-3.09

Computed properties:
SG: No. 64
ΔH_f (0 K) in eV/atom: -0.867


# 12
A plane-wave DFT calculation with PBE was carried out for a geometry-optimized NdGe2Pt structure.

Cell: 9.4534 9.4534 9.4534 Å, 21.37 21.37 21.37°
Last column: nearest neighbours and their distance in Å.
Fractional positions:
Nd: 0.0000 0.0000 0.0000  2 Ge 3.02
Ge: 0.1091 0.1091 0.1091  3 Pt 2.58
Ge: 0.8909 0.8909 0.8909  3 Pt 2.58
Pt: 0.5000 0.5000 0.5000  6 Ge 2.58

Computed properties:
SG: No. 166
ΔH_f (0 K) in eV/atom: -0.054


Table of raw total energy (eV per formula unit), in record order: -22.7, -83.9, -18.4, -29.6, -30.3, -23.6, -65.6, -62.6, -18.7, -41.1, -53.0, -20.3
Table of N(E_F) (states/eV per cell), in record order: 3.35, 8.59, 2.44, 5.21, 3.29, 1.98, 5.26, 8.19, 8.92, 4.14, 19.07, 2.86